Density functional theory data (PBE-GGA) for Li5YAg6 after structural relaxation.

Geometry as POSCAR:
```
Li5YAg6
1.0
-2.322 3.360 6.828
2.322 -3.360 6.828
2.322 3.360 -6.828
Li Y Ag
5 1 6
Direct
0.000 0.000 0.000
0.171 0.671 0.500
0.339 0.339 0.000
0.661 0.661 0.000
0.829 0.329 0.500
0.500 0.000 0.500
0.057 0.824 0.232
0.219 0.500 0.719
0.408 0.176 0.232
0.592 0.824 0.768
0.781 0.500 0.281
0.943 0.176 0.768
```

E_tot   -35.51 eV for the cell shown
Space-group type   Immm, No. 71